DFT (PBE) results for an optimized crystal structure of Cd2SiMo.

Computed properties:
The energy relative to the elements, uncorrected is 0.509 eV per atom. For the density, the calculation gives 7.72 g cm⁻³.

abc: 2.8162 2.8162 9.4589
angles: 90.00 90.00 90.00
Last column: nearest neighbours and their distance in Å.
Space group P4/mmm (No. 123)
Inequivalent atoms, fractional coordinates:
1 Cd 0.0000 0.0000 0.2368 x2  4 Cd 2.82, 4 Mo 3.00
2 Si 0.5000 0.5000 0.5000 x1  4 Si 2.82
3 Mo 0.5000 0.5000 0.0000 x1  4 Mo 2.82, 8 Cd 3.00